1.
Crystalline SmMg4Ni at its relaxed geometry. Source: Alexandria via LeMat-Bulk, functional PBE.

Computed properties:
VASP energy = -2.96 eV per atom
crystal system = orthorhombic
formation energy = -0.150 eV/atom

```
SmMg4Ni
1.0
4.1708 0.0000 0.0000
0.0000 7.3581 0.0000
0.0000 0.0000 8.6147
Sm Mg Ni
2 8 2
Direct
0.0000 0.5907 0.7500 Sm
0.0000 0.4093 0.2500 Sm
0.0000 0.0000 0.5000 Mg
0.0000 0.0000 0.0000 Mg
0.5000 0.9528 0.7500 Mg
0.5000 0.0472 0.2500 Mg
0.5000 0.6977 0.0637 Mg
0.5000 0.3023 0.9363 Mg
0.5000 0.6977 0.4363 Mg
0.5000 0.3023 0.5637 Mg
0.0000 0.2073 0.7500 Ni
0.0000 0.7927 0.2500 Ni
```

---

2.
Crystalline Sm12MgNi5 at its relaxed geometry. Source: Alexandria via LeMat-Bulk, functional PBE.

Computed properties:
VASP energy = -5.06 eV per atom
crystal system = orthorhombic
formation energy = -0.217 eV/atom

```
Sm12MgNi5
1.0
-4.3483 -7.1851 -1.5318
4.7129 1.9972 -6.8322
5.3829 -0.8640 6.5694
Sm Mg Ni
12 1 5
Direct
0.5228 0.8205 0.7022 Sm
0.4772 0.1795 0.2978 Sm
0.8817 0.1795 0.7022 Sm
0.1183 0.8205 0.2978 Sm
0.6925 0.6783 0.3708 Sm
0.3075 0.3217 0.6292 Sm
0.3075 0.6783 0.9858 Sm
0.6925 0.3217 0.0142 Sm
0.8099 0.6031 0.7932 Sm
0.1901 0.3969 0.2068 Sm
0.1901 0.9833 0.7932 Sm
0.8099 0.0167 0.2068 Sm
0.0000 0.5000 0.5000 Mg
0.6318 0.6318 0.0000 Ni
0.3682 0.3682 0.0000 Ni
0.5000 0.1236 0.6236 Ni
0.5000 0.8764 0.3764 Ni
0.0000 0.0000 0.0000 Ni
```

---

3.
Crystalline SmMgNi at its relaxed geometry. Source: Alexandria via LeMat-Bulk, functional PBE.

Computed properties:
VASP energy = -4.32 eV per atom
crystal system = orthorhombic
formation energy = -0.286 eV/atom

```
SmMgNi
1.0
-2.2807 -1.7824 -2.6522
-2.1510 -5.0338 5.2327
-9.8473 7.6596 3.3205
Sm Mg Ni
6 6 6
Direct
0.0000 0.2255 0.9570 Sm
0.0000 0.7745 0.0430 Sm
0.0000 0.2255 0.5430 Sm
0.0000 0.7745 0.4570 Sm
0.0000 0.1413 0.2500 Sm
0.0000 0.8587 0.7500 Sm
0.5000 0.4342 0.1292 Mg
0.5000 0.5658 0.8708 Mg
0.5000 0.4342 0.3708 Mg
0.5000 0.5658 0.6292 Mg
0.5000 0.7942 0.2500 Mg
0.5000 0.2058 0.7500 Mg
0.5000 0.0563 0.0917 Ni
0.5000 0.9437 0.9083 Ni
0.5000 0.0563 0.4083 Ni
0.5000 0.9437 0.5917 Ni
0.0000 0.5602 0.2500 Ni
0.0000 0.4398 0.7500 Ni
```

---

4.
Crystalline SmMgNi at its relaxed geometry. Source: Alexandria via LeMat-Bulk, functional PBE.

Computed properties:
VASP energy = -4.16 eV per atom
crystal system = cubic
formation energy = -0.133 eV/atom

```
SmMgNi
1.0
4.6250 0.0000 0.0000
2.3125 4.0054 0.0000
2.3125 1.3351 3.7763
Ni Mg Sm
1 1 1
Direct
0.2500 0.2500 0.2500 Ni
0.0000 0.0000 0.0000 Mg
0.5000 0.5000 0.5000 Sm
```

---

5.
Crystalline SmMg2Ni2 at its relaxed geometry. Source: Alexandria via LeMat-Bulk, functional PBE.

Computed properties:
VASP energy = -4.13 eV per atom
crystal system = monoclinic
formation energy = -0.237 eV/atom

```
SmMg2Ni2
1.0
0.4147 -3.0117 -2.4953
5.1536 0.1863 0.6317
-1.7420 -1.6531 4.8053
Sm Mg Ni
1 2 2
Direct
0.0000 0.0000 0.0000 Sm
0.3440 0.4224 0.6880 Mg
0.6560 0.5776 0.3120 Mg
0.7199 0.1043 0.4399 Ni
0.2801 0.8957 0.5601 Ni
```

---

6.
Crystalline SmMg9Ni3 at its relaxed geometry. Source: Alexandria via LeMat-Bulk, functional PBE.

Computed properties:
VASP energy = -2.91 eV per atom
crystal system = monoclinic
formation energy = -0.108 eV/atom

```
SmMg9Ni3
1.0
-4.2057 -3.0990 1.5350
-1.4071 -4.8112 -4.9087
2.3099 -6.0026 3.8673
Sm Mg Ni
1 9 3
Direct
0.0000 0.0000 0.0000 Sm
0.6998 0.7857 0.7740 Mg
0.3002 0.2143 0.2260 Mg
0.5262 0.2143 0.7740 Mg
0.4738 0.7857 0.2260 Mg
0.6699 0.3220 0.3585 Mg
0.3301 0.6780 0.6415 Mg
0.9717 0.6780 0.3585 Mg
0.0283 0.3220 0.6415 Mg
0.0000 0.5000 0.0000 Mg
0.5000 0.5000 0.0000 Ni
0.0000 0.0000 0.5000 Ni
0.5000 0.0000 0.5000 Ni
```

---

7.
Crystalline Sm2Mg3Ni2 at its relaxed geometry. Source: Alexandria via LeMat-Bulk, functional PBE.

Computed properties:
VASP energy = -3.92 eV per atom
crystal system = monoclinic
formation energy = -0.240 eV/atom

```
Sm2Mg3Ni2
1.0
3.9567 0.0000 0.0000
-1.9783 5.1129 -0.7760
0.0000 0.2463 7.4825
Sm Mg Ni
2 3 2
Direct
0.6250 0.2500 0.3617 Sm
0.3750 0.7500 0.6383 Sm
0.3181 0.6363 0.1442 Mg
0.0000 0.0000 0.0000 Mg
0.6819 0.3637 0.8558 Mg
0.0815 0.1630 0.6380 Ni
0.9185 0.8370 0.3620 Ni
```

---

8.
Crystalline Sm4MgNi at its relaxed geometry. Source: Alexandria via LeMat-Bulk, functional PBE.

Computed properties:
VASP energy = -4.55 eV per atom
distance to the lowest polymorph of the same formula = 0.000 eV per atom
crystal system = cubic
formation energy = -0.174 eV/atom

```
Sm4MgNi
1.0
8.4991 0.0000 4.9070
2.8330 8.0130 4.9070
0.0000 0.0000 9.8139
Sm Mg Ni
16 4 4
Direct
0.4041 0.4041 0.4041 Sm
0.7876 0.4041 0.4041 Sm
0.4041 0.7876 0.4041 Sm
0.4041 0.4041 0.7876 Sm
0.5608 0.5608 0.9392 Sm
0.9392 0.9392 0.5608 Sm
0.5608 0.9392 0.5608 Sm
0.9392 0.5608 0.9392 Sm
0.9392 0.5608 0.5608 Sm
0.5608 0.9392 0.9392 Sm
0.1855 0.1855 0.8145 Sm
0.8145 0.8145 0.1855 Sm
0.1855 0.8145 0.1855 Sm
0.8145 0.1855 0.8145 Sm
0.8145 0.1855 0.1855 Sm
0.1855 0.8145 0.8145 Sm
0.1707 0.1707 0.1707 Mg
0.4878 0.1707 0.1707 Mg
0.1707 0.4878 0.1707 Mg
0.1707 0.1707 0.4878 Mg
0.6079 0.6079 0.6079 Ni
0.1763 0.6079 0.6079 Ni
0.6079 0.1763 0.6079 Ni
0.6079 0.6079 0.1763 Ni
```